! NaNdPb GGA-PBE relaxed; values from VASP
&SYSTEM
  ibrav = 0, nat = 6, ntyp = 3
/
ATOMIC_SPECIES
Na 22.99 Na.upf
Nd 144.24 Nd.upf
Pb 207.20 Pb.upf
ATOMIC_POSITIONS crystal
Na 0.0000 0.0000 0.0000
Na 0.0000 0.0000 0.5000
Nd 0.3333 0.6667 0.2500
Nd 0.6667 0.3333 0.7500
Pb 0.3333 0.6667 0.7500
Pb 0.6667 0.3333 0.2500
CELL_PARAMETERS angstrom
5.5801 0.0000 0.0000
-2.7901 4.8325 0.0000
0.0000 0.0000 6.6653
! DFT formation energy: -412 meV/atom
! M_tot: 0.0 μB/cell
! DOS at the Fermi energy: 1.35 states/eV per cell

---

! PuCu2AgBr8 GGA-PBE relaxed; values from VASP
&SYSTEM
  ibrav = 0, nat = 12, ntyp = 4
/
ATOMIC_SPECIES
Pu 244.00 Pu.upf
Cu 63.55 Cu.upf
Ag 107.87 Ag.upf
Br 79.90 Br.upf
ATOMIC_POSITIONS crystal
Pu 0.0000 0.0000 0.0000
Cu 0.2500 0.7500 0.5000
Cu 0.5000 0.5000 0.0000
Ag 0.7500 0.2500 0.5000
Br 0.0632 0.3691 0.3059
Br 0.0632 0.7573 0.6941
Br 0.1142 0.3003 0.8139
Br 0.2427 0.9368 0.3059
Br 0.4864 0.3003 0.1861
Br 0.6309 0.9368 0.6941
Br 0.6997 0.5136 0.8139
Br 0.6997 0.8858 0.1861
CELL_PARAMETERS angstrom
-4.5400 4.5400 4.3611
4.5400 -4.5400 4.3611
4.5400 4.5400 -4.3611
! M_tot: 3.3 μB/cell
! DOS at the Fermi energy: 18.97 states/eV per cell
! Raw formation energy: -7.7 eV/f.u.

---

! CaZr2BeF GGA-PBE relaxed; values from VASP
&SYSTEM
  ibrav = 0, nat = 5, ntyp = 4
/
ATOMIC_SPECIES
Ca 40.08 Ca.upf
Zr 91.22 Zr.upf
Be 9.01 Be.upf
F 19.00 F.upf
ATOMIC_POSITIONS crystal
Ca 0.0000 0.0000 0.0000
Zr 0.0000 0.5000 0.0000
Zr 0.5000 0.0000 0.0000
Be 0.0000 0.0000 0.5000
F 0.5000 0.5000 0.5000
CELL_PARAMETERS angstrom
5.2074 0.0000 0.0000
0.0000 5.2074 0.0000
0.0000 0.0000 4.3459
! M_tot: 0.8 μB/cell
! DOS at the Fermi energy: 5.29 states/eV per cell
! Raw formation energy: 7.6 eV/f.u.

---

! InIrBr2 GGA-PBE relaxed; values from VASP
&SYSTEM
  ibrav = 0, nat = 4, ntyp = 3
/
ATOMIC_SPECIES
In 114.82 In.upf
Ir 192.22 Ir.upf
Br 79.90 Br.upf
ATOMIC_POSITIONS crystal
In 0.0000 0.0000 0.0000
Ir 0.5000 0.5000 0.5000
Br 0.2500 0.2500 0.2500
Br 0.7500 0.7500 0.7500
CELL_PARAMETERS angstrom
0.0000 3.5967 3.5967
3.5967 0.0000 3.5967
3.5967 3.5967 0.0000
! M_tot: 2.0 μB/cell
! DOS at the Fermi energy: 3.80 states/eV per cell
! Energy relative to the lowest polymorph listed for this composition: 816 meV per atom
! Raw formation energy: 3.0 eV/f.u.

---

! K2CaAgI5 GGA-PBE relaxed; values from VASP
&SYSTEM
  ibrav = 0, nat = 18, ntyp = 4
/
ATOMIC_SPECIES
K 39.10 K.upf
Ca 40.08 Ca.upf
Ag 107.87 Ag.upf
I 126.90 I.upf
ATOMIC_POSITIONS crystal
K 0.1084 0.8916 0.5000
K 0.1227 0.8773 0.1452
K 0.8773 0.1227 0.6452
K 0.8916 0.1084 0.0000
Ca 0.2064 0.7936 0.8438
Ca 0.7936 0.2064 0.3438
Ag 0.4389 0.5611 0.2563
Ag 0.5611 0.4389 0.7563
I 0.0556 0.9444 0.8626
I 0.2870 0.7130 0.4865
I 0.2998 0.7002 0.1997
I 0.3555 0.6445 0.8275
I 0.4995 0.5005 0.5925
I 0.5005 0.4995 0.0925
I 0.6445 0.3555 0.3275
I 0.7002 0.2998 0.6997
I 0.7130 0.2870 0.9865
I 0.9444 0.0556 0.3626
CELL_PARAMETERS angstrom
2.3470 -10.4213 0.0000
2.3470 10.4213 0.0000
0.0000 0.0000 15.1194
! M_tot: 0.0 μB/cell
! DOS at the Fermi energy: 0.00 states/eV per cell
! Raw formation energy: -11.3 eV/f.u.

---

! Dy6ScIn2 GGA-PBE relaxed; values from VASP
&SYSTEM
  ibrav = 0, nat = 9, ntyp = 3
/
ATOMIC_SPECIES
Dy 162.50 Dy.upf
Sc 44.96 Sc.upf
In 114.82 In.upf
ATOMIC_POSITIONS crystal
Dy 0.0220 0.0220 0.3438
Dy 0.3087 0.3087 0.4083
Dy 0.3268 0.3268 0.1205
Dy 0.6732 0.6732 0.8795
Dy 0.6913 0.6913 0.5917
Dy 0.9780 0.9780 0.6562
Sc 0.0000 0.0000 0.0000
In 0.3596 0.3596 0.8126
In 0.6404 0.6404 0.1874
CELL_PARAMETERS angstrom
6.3041 -1.8357 0.0000
6.3041 1.8357 0.0000
-3.4410 0.0000 11.1946
! DFT formation energy: -202 meV/atom
! M_tot: 0.0 μB/cell
! DOS at the Fermi energy: 11.02 states/eV per cell

---

! HfNiAu GGA-PBE relaxed; values from VASP
&SYSTEM
  ibrav = 0, nat = 3, ntyp = 3
/
ATOMIC_SPECIES
Hf 178.49 Hf.upf
Ni 58.69 Ni.upf
Au 196.97 Au.upf
ATOMIC_POSITIONS crystal
Hf 0.0000 0.0000 0.0000
Ni 0.3518 0.3518 0.0000
Au 0.6779 0.6779 0.0000
CELL_PARAMETERS angstrom
-1.6981 1.6981 4.3056
1.6981 -1.6981 4.3056
1.6981 1.6981 -4.3056
! DFT formation energy: -554 meV/atom
! M_tot: 0.0 μB/cell
! DOS at the Fermi energy: 1.40 states/eV per cell
! Energy relative to the lowest polymorph listed for this composition: 0 meV per atom

---

! Er8CdPd2 GGA-PBE relaxed; values from VASP
&SYSTEM
  ibrav = 0, nat = 11, ntyp = 3
/
ATOMIC_SPECIES
Er 167.26 Er.upf
Cd 112.41 Cd.upf
Pd 106.42 Pd.upf
ATOMIC_POSITIONS crystal
Er 0.0808 0.3299 0.5856
Er 0.2409 0.7591 0.0000
Er 0.3299 0.0808 0.5856
Er 0.3884 0.3884 0.1924
Er 0.6116 0.6116 0.8076
Er 0.6701 0.9192 0.4144
Er 0.7591 0.2409 0.0000
Er 0.9192 0.6701 0.4144
Cd 0.0000 0.0000 0.0000
Pd 0.3043 0.6957 0.5000
Pd 0.6957 0.3043 0.5000
CELL_PARAMETERS angstrom
4.2879 -6.7333 0.0000
4.2879 6.7333 0.0000
-1.4494 0.0000 5.2404
! DFT formation energy: -290 meV/atom
! M_tot: 0.0 μB/cell
! DOS at the Fermi energy: 15.28 states/eV per cell

---

! BaZr4PaN8 GGA-PBE relaxed; values from VASP
&SYSTEM
  ibrav = 0, nat = 14, ntyp = 4
/
ATOMIC_SPECIES
Ba 137.33 Ba.upf
Zr 91.22 Zr.upf
Pa 231.04 Pa.upf
N 14.01 N.upf
ATOMIC_POSITIONS crystal
Ba 0.0000 0.0000 0.0000
Zr 0.1150 0.6324 0.6324
Zr 0.2523 0.2523 0.2523
Zr 0.6324 0.1150 0.6324
Zr 0.6324 0.6324 0.1150
Pa 0.6296 0.6296 0.6296
N 0.3814 0.3814 0.3814
N 0.3837 0.3837 0.8597
N 0.3837 0.8597 0.3837
N 0.4508 0.8543 0.8543
N 0.8543 0.4508 0.8543
N 0.8543 0.8543 0.4508
N 0.8536 0.8536 0.8536
N 0.8597 0.3837 0.3837
CELL_PARAMETERS angstrom
3.3610 1.9405 5.6865
-3.3610 1.9405 5.6865
0.0000 -3.8809 5.6865
! M_tot: 0.0 μB/cell
! DOS at the Fermi energy: 8.28 states/eV per cell
! Raw formation energy: -17.3 eV/f.u.

---

! CaY2Ir GGA-PBE relaxed; values from VASP
&SYSTEM
  ibrav = 0, nat = 4, ntyp = 3
/
ATOMIC_SPECIES
Ca 40.08 Ca.upf
Y 88.91 Y.upf
Ir 192.22 Ir.upf
ATOMIC_POSITIONS crystal
Ca 0.0000 0.0000 0.0000
Y 0.3802 0.3802 0.0000
Y 0.6907 0.1907 0.5000
Ir 0.2013 0.7013 0.5000
CELL_PARAMETERS angstrom
-1.8108 2.5863 5.7971
1.8108 -2.5863 5.7971
1.8108 2.5863 -5.7971
! DFT formation energy: -321 meV/atom
! M_tot: 0.0 μB/cell
! DOS at the Fermi energy: 3.46 states/eV per cell
! Energy relative to the lowest polymorph listed for this composition: 82 meV per atom

---

! Ca2InIr GGA-PBE relaxed; values from VASP
&SYSTEM
  ibrav = 0, nat = 4, ntyp = 3
/
ATOMIC_SPECIES
Ca 40.08 Ca.upf
In 114.82 In.upf
Ir 192.22 Ir.upf
ATOMIC_POSITIONS crystal
Ca 0.0004 0.0000 0.2066
Ca 0.9996 0.0000 0.7934
In 0.5000 0.5000 0.5000
Ir 0.5000 0.5000 0.0000
CELL_PARAMETERS angstrom
3.5447 0.0000 0.0000
0.0000 3.4256 0.0000
-0.0111 0.0000 7.9781
! DFT formation energy: -311 meV/atom
! M_tot: 0.0 μB/cell
! DOS at the Fermi energy: 2.47 states/eV per cell

---

! LiRhSe GGA-PBE relaxed; values from VASP
&SYSTEM
  ibrav = 0, nat = 3, ntyp = 3
/
ATOMIC_SPECIES
Li 6.94 Li.upf
Rh 102.91 Rh.upf
Se 78.96 Se.upf
ATOMIC_POSITIONS crystal
Li 0.0000 0.0000 0.0000
Rh 0.2500 0.2500 0.2500
Se 0.5000 0.5000 0.5000
CELL_PARAMETERS angstrom
0.0000 2.9210 2.9210
2.9210 0.0000 2.9210
2.9210 2.9210 0.0000
! M_tot: 0.0 μB/cell
! DOS at the Fermi energy: 2.76 states/eV per cell
! Energy relative to the lowest polymorph listed for this composition: 64 meV per atom
! Raw formation energy: -1.2 eV/f.u.